This record from Alexandria via LeMat-Bulk describes a PBEsol-optimized structure of SiHgAu2. The functional is meta-GGA SCAN.

Structure (POSCAR):
```
SiHgAu2
1.0
1.6509 0.9531 7.7551
-1.6509 0.9531 7.7551
0.0000 -1.9063 7.7551
Si Hg Au
1 1 2
Cartesian
0.0000 0.0000 0.0000 Si
0.0000 0.0000 11.6327 Hg
0.0000 0.0000 6.0874 Au
0.0000 0.0000 17.1780 Au
```

**Space-group type**: No. 166
**Uncorrected formation energy**: 0.005 eV/atom
**Uncorrected energy**: -54.119 eV per atom
**ΔE to the lowest computed polymorph**: 0.00 eV/f.u.

***

This record from Alexandria via LeMat-Bulk describes a PBEsol-optimized structure of Sb2MoSe. The functional is meta-GGA SCAN.

Structure (POSCAR):
```
Sb2MoSe
1.0
3.2941 0.0000 0.0000
0.0000 4.7662 0.0000
0.0000 0.0000 5.1864
Sb Mo Se
2 1 1
Cartesian
0.0000 0.0000 0.0000 Sb
1.6470 0.0000 2.5932 Sb
0.0000 2.3831 2.5932 Mo
1.6470 2.3831 0.0000 Se
```

**Space-group type**: No. 47
**Uncorrected formation energy**: 0.696 eV/atom
**Uncorrected energy**: -31.675 eV per atom

***

This record from Alexandria via LeMat-Bulk describes a PBEsol-optimized structure of NaIn2Pb2. The functional is meta-GGA SCAN.

Structure (POSCAR):
```
NaIn2Pb2
1.0
-2.5249 2.5249 6.1533
2.5249 -2.5249 6.1533
2.5249 2.5249 -6.1533
Na In Pb
1 2 2
Cartesian
0.0000 0.0000 0.0000 Na
0.0000 0.0000 4.7661 In
0.0000 0.0000 7.5405 In
2.5249 0.0000 3.0766 Pb
0.0000 2.5249 3.0766 Pb
```

**Space-group type**: No. 139
**Uncorrected energy**: -44.631 eV per atom
**ΔE to the lowest computed polymorph**: 0.00 eV/f.u.
**Calculated formation energy**: -0.121 eV/atom

***

This record from Alexandria via LeMat-Bulk describes a PBEsol-optimized structure of Fe2Ir. The functional is meta-GGA SCAN.

Structure (POSCAR):
```
Fe2Ir
1.0
3.9617 0.0000 0.0000
-1.9809 3.4309 0.0000
0.0000 0.0000 2.5544
Fe Ir
2 1
Cartesian
0.0000 2.2873 0.0000 Fe
1.9809 1.1436 0.0000 Fe
0.0000 0.0000 1.2772 Ir
```

**Space-group type**: No. 191
**Uncorrected energy**: -35.682 eV per atom
**Calculated formation energy**: 0.104 eV/atom

***

This record from Alexandria via LeMat-Bulk describes a PBEsol-optimized structure of Cr2TeCl. The functional is meta-GGA SCAN.

Structure (POSCAR):
```
Cr2TeCl
1.0
0.0000 3.4562 3.4562
3.4562 0.0000 3.4562
3.4562 3.4562 0.0000
Cr Te Cl
2 1 1
Cartesian
0.0000 0.0000 0.0000 Cr
1.7281 1.7281 1.7281 Cr
5.1842 5.1842 5.1842 Te
3.4562 3.4562 3.4562 Cl
```

**Space-group type**: No. 216
**Uncorrected formation energy**: 0.224 eV/atom
**Uncorrected energy**: -20.276 eV per atom
**ΔE to the lowest computed polymorph**: 1.81 eV/f.u.

***

This record from Alexandria via LeMat-Bulk describes a PBEsol-optimized structure of CdIn. The functional is meta-GGA SCAN.

Structure (POSCAR):
```
CdIn
1.0
1.6510 -6.0668 0.0000
1.6510 6.0668 0.0000
0.0000 0.0000 4.6968
Cd In
2 2
Cartesian
1.6510 5.1631 3.5226 Cd
1.6510 -5.1631 1.1742 Cd
1.6510 2.0481 3.5226 In
1.6510 -2.0481 1.1742 In
```

**Space-group type**: No. 63
**Uncorrected energy**: -31.819 eV per atom
**Calculated formation energy**: 0.081 eV/atom

***

This record from Alexandria via LeMat-Bulk describes a PBEsol-optimized structure of TaGePS2. The functional is meta-GGA SCAN.

Structure (POSCAR):
```
TaGePS2
1.0
4.6726 0.0000 0.0000
0.0000 4.6726 0.0000
0.0000 0.0000 4.9229
Ta Ge P S
1 1 1 2
Cartesian
0.0000 0.0000 0.0000 Ta
2.3363 2.3363 2.4615 Ge
0.0000 0.0000 2.4615 P
0.0000 2.3363 0.0000 S
2.3363 0.0000 0.0000 S
```

**Space-group type**: No. 123
**Uncorrected formation energy**: 0.084 eV/atom
**Uncorrected energy**: -22.981 eV per atom

***

This record from Alexandria via LeMat-Bulk describes a PBEsol-optimized structure of CdSn3O. The functional is meta-GGA SCAN.

Structure (POSCAR):
```
CdSn3O
1.0
4.7871 0.0000 0.0000
0.0000 4.7871 0.0000
0.0000 0.0000 4.7871
Cd Sn O
1 3 1
Cartesian
0.0000 0.0000 0.0000 Cd
0.0000 2.3935 2.3935 Sn
2.3935 0.0000 2.3935 Sn
2.3935 2.3935 0.0000 Sn
2.3935 2.3935 2.3935 O
```

**Space-group type**: No. 221
**Uncorrected formation energy**: -0.115 eV/atom
**Uncorrected energy**: -28.997 eV per atom

***

Q: What is the uncorrected energy in the fourth record?
A: -35.682 eV per atom